Record 1
A geometry-optimized KAc2OsO6 structure. Source: Alexandria via LeMat-Bulk, functional PBE.

Cell lengths 5.8604, 6.4131, 10.2678 Å; angles 90.00, 123.40, 90.00 degrees
Element x y z (fractional)
K (0.0000, 0.0000, 0.0000)
K (0.0000, 0.5000, 0.5000)
Ac (0.2202, 0.0572, 0.7374)
Ac (0.2202, 0.4428, 0.2374)
Ac (0.7798, 0.5572, 0.7626)
Ac (0.7798, 0.9428, 0.2626)
Os (0.5000, 0.0000, 0.5000)
Os (0.5000, 0.5000, 0.0000)
O (0.1742, 0.1555, 0.4622)
O (0.1742, 0.3445, 0.9622)
O (0.2621, 0.7447, 0.4084)
O (0.2621, 0.7553, 0.9084)
O (0.4144, 0.0814, 0.2893)
O (0.4144, 0.4186, 0.7893)
O (0.5856, 0.5814, 0.2107)
O (0.5856, 0.9186, 0.7107)
O (0.7379, 0.2447, 0.0916)
O (0.7379, 0.2553, 0.5916)
O (0.8258, 0.6555, 0.0378)
O (0.8258, 0.8445, 0.5378)

SG ... P2_1/c
E_tot ... -7.329 eV/atom

***

Record 2
A geometry-optimized CaTi structure. Source: Alexandria via LeMat-Bulk, functional PBE.

Cell lengths 9.4636, 9.4636, 9.4636 Å; angles 90.00, 90.00, 90.00 degrees
Element x y z (fractional)
Ca (0.2088, 0.2088, 0.2088)
Ca (0.2088, 0.7912, 0.7912)
Ca (0.2912, 0.2912, 0.7088)
Ca (0.2912, 0.7088, 0.2912)
Ca (0.7088, 0.2912, 0.2912)
Ca (0.7088, 0.7088, 0.7088)
Ca (0.7912, 0.2088, 0.7912)
Ca (0.7912, 0.7912, 0.2088)
Ti (0.0932, 0.0932, 0.9068)
Ti (0.0932, 0.9068, 0.0932)
Ti (0.4068, 0.4068, 0.4068)
Ti (0.4068, 0.5932, 0.5932)
Ti (0.5932, 0.4068, 0.5932)
Ti (0.5932, 0.5932, 0.4068)
Ti (0.9068, 0.0932, 0.0932)
Ti (0.9068, 0.9068, 0.9068)

Energy relative to the elements ... 1.13 eV per atom
SG ... I-43m
E_tot ... -3.817 eV/atom
Density of states at the Fermi level ... 2.50 states/eV/f.u.

***

Record 3
A geometry-optimized CaTl3Si structure. Source: Alexandria via LeMat-Bulk, functional PBE.

Cell lengths 5.8275, 5.8275, 5.8275 Å; angles 90.00, 90.00, 90.00 degrees
Element x y z (fractional)
Ca (0.0000, 0.0000, 0.0000)
Tl (0.0000, 0.0000, 0.5000)
Tl (0.0000, 0.5000, 0.0000)
Tl (0.5000, 0.0000, 0.0000)
Si (0.5000, 0.5000, 0.5000)

SG ... Pm-3m
E_tot ... -2.032 eV/atom
Density of states at the Fermi level ... 4.16 states/eV/f.u.

***

Record 4
A geometry-optimized Pm5Pr3Ag2 structure. Source: Alexandria via LeMat-Bulk, functional PBE.

Cell lengths 10.7039, 10.7039, 10.7039 Å; angles 113.57, 78.38, 143.28 degrees
Element x y z (fractional)
Pm (0.0565, 0.2500, 0.8065)
Pm (0.0624, 0.2311, 0.2936)
Pm (0.2500, 0.2500, 0.0000)
Pm (0.4376, 0.7311, 0.1687)
Pm (0.4435, 0.2500, 0.1935)
Pm (0.5565, 0.7500, 0.8065)
Pm (0.5624, 0.2689, 0.8313)
Pm (0.7500, 0.7500, 0.0000)
Pm (0.9376, 0.7689, 0.7064)
Pm (0.9435, 0.7500, 0.1935)
Pr (0.1680, 0.7177, 0.8857)
Pr (0.2500, 0.7500, 0.5000)
Pr (0.3320, 0.2177, 0.5497)
Pr (0.6680, 0.7823, 0.4503)
Pr (0.7500, 0.2500, 0.5000)
Pr (0.8320, 0.2823, 0.1143)
Ag (0.1636, 0.4359, 0.5995)
Ag (0.3364, 0.9359, 0.2722)
Ag (0.6636, 0.0641, 0.7278)
Ag (0.8364, 0.5641, 0.4005)

Energy relative to the elements ... 0.09 eV per atom
SG ... Ibam
E_tot ... -4.288 eV/atom
Density of states at the Fermi level ... 14.72 states/eV/f.u.

***

Record 5
A geometry-optimized BaTlSb2 structure. Source: Alexandria via LeMat-Bulk, functional PBE.

Cell lengths 4.9905, 4.9905, 10.5961 Å; angles 90.00, 90.00, 90.00 degrees
Element x y z (fractional)
Ba (0.0000, 0.0000, 0.0000)
Ba (0.5000, 0.5000, 0.5000)
Tl (0.0000, 0.5000, 0.2500)
Tl (0.5000, 0.0000, 0.7500)
Sb (0.0000, 0.0000, 0.5000)
Sb (0.0000, 0.5000, 0.7500)
Sb (0.5000, 0.0000, 0.2500)
Sb (0.5000, 0.5000, 0.0000)

SG ... I-4m2
E_tot ... -3.473 eV/atom
Density of states at the Fermi level ... 3.98 states/eV/f.u.

***

Record 6
A geometry-optimized TbAs2RhO8 structure. Source: Alexandria via LeMat-Bulk, functional PBE.

Cell lengths 5.4469, 5.4469, 6.6380 Å; angles 90.00, 90.00, 120.00 degrees
Element x y z (fractional)
Tb (0.0000, 0.0000, 0.0000)
As (0.3333, 0.6667, 0.2218)
As (0.6667, 0.3333, 0.7782)
Rh (0.0000, 0.0000, 0.5000)
O (0.1558, 0.3116, 0.2856)
O (0.1558, 0.8442, 0.2856)
O (0.3116, 0.1558, 0.7144)
O (0.3333, 0.6667, 0.9681)
O (0.6667, 0.3333, 0.0319)
O (0.6884, 0.8442, 0.2856)
O (0.8442, 0.1558, 0.7144)
O (0.8442, 0.6884, 0.7144)

SG ... P-3m1
E_tot ... -6.551 eV/atom

***

Record 7
A geometry-optimized AcInRh2 structure. Source: Alexandria via LeMat-Bulk, functional PBE.

Cell lengths 4.5817, 6.7645, 5.8624 Å; angles 90.00, 90.00, 90.00 degrees
Element x y z (fractional)
Ac (0.2500, 0.2500, 0.1614)
Ac (0.7500, 0.7500, 0.8386)
In (0.2500, 0.7500, 0.3234)
In (0.7500, 0.2500, 0.6766)
Rh (0.2500, 0.0348, 0.6569)
Rh (0.2500, 0.4652, 0.6569)
Rh (0.7500, 0.5348, 0.3431)
Rh (0.7500, 0.9652, 0.3431)

Energy relative to the elements ... -0.55 eV per atom
SG ... Pmmn
E_tot ... -5.940 eV/atom
Density of states at the Fermi level ... 1.08 states/eV/f.u.

***

Record 8
A geometry-optimized SrPm3P structure. Source: Alexandria via LeMat-Bulk, functional PBE.

Cell lengths 5.6526, 5.6526, 5.6526 Å; angles 90.00, 90.00, 90.00 degrees
Element x y z (fractional)
Sr (0.0000, 0.0000, 0.0000)
Pm (0.0000, 0.5000, 0.5000)
Pm (0.5000, 0.0000, 0.5000)
Pm (0.5000, 0.5000, 0.0000)
P (0.5000, 0.5000, 0.5000)

Energy relative to the elements ... -0.42 eV per atom
SG ... Pm-3m
E_tot ... -4.690 eV/atom
Density of states at the Fermi level ... 8.95 states/eV/f.u.

***

Record 9
A geometry-optimized HfNbVCu structure. Source: Alexandria via LeMat-Bulk, functional PBE.

Cell lengths 6.3986, 6.3986, 6.3986 Å; angles 90.00, 90.00, 90.00 degrees
Element x y z (fractional)
Hf (0.0000, 0.0000, 0.0000)
Hf (0.0000, 0.5000, 0.5000)
Hf (0.5000, 0.0000, 0.5000)
Hf (0.5000, 0.5000, 0.0000)
Nb (0.0000, 0.0000, 0.5000)
Nb (0.0000, 0.5000, 0.0000)
Nb (0.5000, 0.0000, 0.0000)
Nb (0.5000, 0.5000, 0.5000)
V (0.2500, 0.2500, 0.7500)
V (0.2500, 0.7500, 0.2500)
V (0.7500, 0.2500, 0.2500)
V (0.7500, 0.7500, 0.7500)
Cu (0.2500, 0.2500, 0.2500)
Cu (0.2500, 0.7500, 0.7500)
Cu (0.7500, 0.2500, 0.7500)
Cu (0.7500, 0.7500, 0.2500)

Energy relative to the elements ... 0.09 eV per atom
SG ... F-43m
E_tot ... -8.217 eV/atom
Density of states at the Fermi level ... 3.52 states/eV/f.u.

***

Record 10
A geometry-optimized LiCrIr2 structure. Source: Alexandria via LeMat-Bulk, functional PBE.

Cell lengths 2.6467, 4.0316, 4.9898 Å; angles 90.00, 102.91, 90.00 degrees
Element x y z (fractional)
Li (0.0000, 0.0000, 0.0000)
Cr (0.3640, 0.5000, 0.2665)
Ir (0.4787, 0.5000, 0.7975)
Ir (0.8688, 0.0000, 0.4858)

Energy relative to the elements ... -0.02 eV per atom
SG ... Pm
E_tot ... -7.336 eV/atom
Density of states at the Fermi level ... 3.64 states/eV/f.u.

***

Record 11
A geometry-optimized Ti2IrSI structure. Source: Alexandria via LeMat-Bulk, functional PBE.

Cell lengths 4.9440, 4.9440, 4.9315 Å; angles 90.00, 90.00, 90.00 degrees
Element x y z (fractional)
Ti (0.0000, 0.5000, 0.0000)
Ti (0.5000, 0.0000, 0.0000)
Ir (0.0000, 0.0000, 0.5000)
S (0.5000, 0.5000, 0.5000)
I (0.5000, 0.5000, 0.0000)

SG ... P4/mmm
E_tot ... -4.372 eV/atom
Density of states at the Fermi level ... 10.60 states/eV/f.u.

***

Record 12
A geometry-optimized Sc3Se2 structure. Source: Alexandria via LeMat-Bulk, functional PBE.

Cell lengths 10.4944, 3.6982, 10.3815 Å; angles 90.00, 90.00, 90.00 degrees
Element x y z (fractional)
Sc (0.0461, 0.2500, 0.1257)
Sc (0.1231, 0.7500, 0.5652)
Sc (0.2119, 0.2500, 0.7963)
Sc (0.2881, 0.7500, 0.2963)
Sc (0.3769, 0.2500, 0.0652)
Sc (0.4539, 0.7500, 0.6257)
Sc (0.5461, 0.2500, 0.3743)
Sc (0.6231, 0.7500, 0.9348)
Sc (0.7119, 0.2500, 0.7037)
Sc (0.7881, 0.7500, 0.2037)
Sc (0.8769, 0.2500, 0.4348)
Sc (0.9539, 0.7500, 0.8743)
Se (0.0282, 0.7500, 0.3206)
Se (0.1932, 0.7500, 0.9974)
Se (0.3068, 0.2500, 0.4974)
Se (0.4718, 0.2500, 0.8206)
Se (0.5282, 0.7500, 0.1794)
Se (0.6932, 0.7500, 0.5026)
Se (0.8068, 0.2500, 0.0026)
Se (0.9718, 0.2500, 0.6794)

SG ... Pnma
E_tot ... -6.494 eV/atom
Density of states at the Fermi level ... 2.67 states/eV/f.u.

***

Record 13
A geometry-optimized Dy5TmTl6 structure. Source: Alexandria via LeMat-Bulk, functional PBE.

Cell lengths 9.2967, 9.2967, 5.3659 Å; angles 106.68, 106.68, 120.41 degrees
Element x y z (fractional)
Dy (0.0000, 0.0000, 0.0000)
Dy (0.1665, 0.8335, 0.5000)
Dy (0.3326, 0.6674, 0.0000)
Dy (0.6674, 0.3326, 0.0000)
Dy (0.8335, 0.1665, 0.5000)
Tm (0.5000, 0.5000, 0.5000)
Tl (0.0856, 0.4171, 0.2512)
Tl (0.2527, 0.2527, 0.7527)
Tl (0.4171, 0.0856, 0.2512)
Tl (0.5829, 0.9144, 0.7488)
Tl (0.7473, 0.7473, 0.2473)
Tl (0.9144, 0.5829, 0.7488)

Energy relative to the elements ... -0.33 eV per atom
SG ... C2/m
E_tot ... -3.805 eV/atom
Density of states at the Fermi level ... 9.67 states/eV/f.u.

***

Record 14
A geometry-optimized Er3Be2Pt5 structure. Source: Alexandria via LeMat-Bulk, functional PBE.

Cell lengths 9.6385, 9.6385, 3.6548 Å; angles 90.00, 90.00, 90.00 degrees
Element x y z (fractional)
Er (0.0000, 0.0000, 0.0000)
Er (0.1770, 0.3230, 0.0000)
Er (0.3230, 0.8230, 0.0000)
Er (0.5000, 0.5000, 0.0000)
Er (0.6770, 0.1770, 0.0000)
Er (0.8230, 0.6770, 0.0000)
Be (0.1159, 0.6159, 0.0000)
Be (0.3841, 0.1159, 0.0000)
Be (0.6159, 0.8841, 0.0000)
Be (0.8841, 0.3841, 0.0000)
Pt (0.0000, 0.5000, 0.5000)
Pt (0.0710, 0.7784, 0.5000)
Pt (0.2216, 0.0710, 0.5000)
Pt (0.2784, 0.5710, 0.5000)
Pt (0.4290, 0.2784, 0.5000)
Pt (0.5000, 0.0000, 0.5000)
Pt (0.5710, 0.7216, 0.5000)
Pt (0.7216, 0.4290, 0.5000)
Pt (0.7784, 0.9290, 0.5000)
Pt (0.9290, 0.2216, 0.5000)

Energy relative to the elements ... -1.11 eV per atom
SG ... P4/mbm
E_tot ... -6.241 eV/atom
Density of states at the Fermi level ... 5.00 states/eV/f.u.

***

Record 15
A geometry-optimized Li3H12Au5 structure. Source: Alexandria via LeMat-Bulk, functional PBE.

Cell lengths 10.2443, 10.2443, 10.2443 Å; angles 109.47, 109.47, 109.47 degrees
Element x y z (fractional)
Li (0.1250, 0.2500, 0.3750)
Li (0.1250, 0.3750, 0.7500)
Li (0.2500, 0.3750, 0.1250)
Li (0.2500, 0.8750, 0.6250)
Li (0.3750, 0.1250, 0.2500)
Li (0.3750, 0.7500, 0.1250)
Li (0.6250, 0.2500, 0.8750)
Li (0.6250, 0.8750, 0.7500)
Li (0.7500, 0.1250, 0.3750)
Li (0.7500, 0.6250, 0.8750)
Li (0.8750, 0.6250, 0.2500)
Li (0.8750, 0.7500, 0.6250)
H (0.0228, 0.1913, 0.1298)
H (0.0228, 0.3315, 0.8929)
H (0.0614, 0.6913, 0.6685)
H (0.0614, 0.8702, 0.3929)
H (0.1071, 0.6298, 0.4386)
H (0.1071, 0.9772, 0.6685)
H (0.1298, 0.0228, 0.1913)
H (0.1298, 0.6071, 0.9386)
H (0.1685, 0.1913, 0.5614)
H (0.1685, 0.4772, 0.6071)
H (0.1913, 0.1298, 0.0228)
H (0.1913, 0.5614, 0.1685)
H (0.3087, 0.3315, 0.9386)
H (0.3087, 0.4772, 0.3702)
H (0.3315, 0.8929, 0.0228)
H (0.3315, 0.9386, 0.3087)
H (0.3702, 0.3087, 0.4772)
H (0.3702, 0.5614, 0.8929)
H (0.3929, 0.0614, 0.8702)
H (0.3929, 0.8315, 0.5228)
H (0.4386, 0.1071, 0.6298)
H (0.4386, 0.8315, 0.8087)
H (0.4772, 0.3702, 0.3087)
H (0.4772, 0.6071, 0.1685)
H (0.5228, 0.3929, 0.8315)
H (0.5228, 0.6298, 0.6913)
H (0.5614, 0.1685, 0.1913)
H (0.5614, 0.8929, 0.3702)
H (0.6071, 0.1685, 0.4772)
H (0.6071, 0.9386, 0.1298)
H (0.6298, 0.4386, 0.1071)
H (0.6298, 0.6913, 0.5228)
H (0.6685, 0.0614, 0.6913)
H (0.6685, 0.1071, 0.9772)
H (0.6913, 0.5228, 0.6298)
H (0.6913, 0.6685, 0.0614)
H (0.8087, 0.4386, 0.8315)
H (0.8087, 0.8702, 0.9772)
H (0.8315, 0.5228, 0.3929)
H (0.8315, 0.8087, 0.4386)
H (0.8702, 0.3929, 0.0614)
H (0.8702, 0.9772, 0.8087)
H (0.8929, 0.0228, 0.3315)
H (0.8929, 0.3702, 0.5614)
H (0.9386, 0.1298, 0.6071)
H (0.9386, 0.3087, 0.3315)
H (0.9772, 0.6685, 0.1071)
H (0.9772, 0.8087, 0.8702)
Au (0.0000, 0.0000, 0.0000)
Au (0.0000, 0.0000, 0.5000)
Au (0.0000, 0.5000, 0.0000)
Au (0.0000, 0.5000, 0.5000)
Au (0.1250, 0.7500, 0.8750)
Au (0.1250, 0.8750, 0.2500)
Au (0.2500, 0.1250, 0.8750)
Au (0.2500, 0.6250, 0.3750)
Au (0.3750, 0.2500, 0.6250)
Au (0.3750, 0.6250, 0.7500)
Au (0.5000, 0.0000, 0.0000)
Au (0.5000, 0.0000, 0.5000)
Au (0.5000, 0.5000, 0.0000)
Au (0.5000, 0.5000, 0.5000)
Au (0.6250, 0.3750, 0.2500)
Au (0.6250, 0.7500, 0.3750)
Au (0.7500, 0.3750, 0.6250)
Au (0.7500, 0.8750, 0.1250)
Au (0.8750, 0.1250, 0.7500)
Au (0.8750, 0.2500, 0.1250)

SG ... Ia-3d
E_tot ... -3.028 eV/atom
Density of states at the Fermi level ... 6.37 states/eV/f.u.

***

Record 16
A geometry-optimized TaBeCuPd2 structure. Source: Alexandria via LeMat-Bulk, functional PBE.

Cell lengths 4.2167, 4.2167, 4.0698 Å; angles 90.00, 90.00, 90.00 degrees
Element x y z (fractional)
Ta (0.0000, 0.0000, 0.0000)
Be (0.5000, 0.5000, 0.5000)
Cu (0.5000, 0.5000, 0.0000)
Pd (0.0000, 0.5000, 0.5000)
Pd (0.5000, 0.0000, 0.5000)

Energy relative to the elements ... 0.22 eV per atom
SG ... P4/mmm
E_tot ... -5.788 eV/atom
Density of states at the Fermi level ... 6.03 states/eV/f.u.

***

Record 17
A geometry-optimized LiReTe structure. Source: Alexandria via LeMat-Bulk, functional PBE.

Cell lengths 3.2295, 5.1356, 13.7796 Å; angles 90.00, 90.00, 90.00 degrees
Element x y z (fractional)
Li (0.0000, 0.0000, 0.0000)
Li (0.0000, 0.5000, 0.5000)
Li (0.5000, 0.0000, 0.5000)
Li (0.5000, 0.5000, 0.0000)
Re (0.0000, 0.0000, 0.3441)
Re (0.0000, 0.5000, 0.8441)
Re (0.5000, 0.0000, 0.8441)
Re (0.5000, 0.5000, 0.3441)
Te (0.0000, 0.0000, 0.6906)
Te (0.0000, 0.5000, 0.1906)
Te (0.5000, 0.0000, 0.1906)
Te (0.5000, 0.5000, 0.6906)

SG ... Fmm2
E_tot ... -5.156 eV/atom
Density of states at the Fermi level ... 2.22 states/eV/f.u.

***

Record 18
A geometry-optimized Na2DySi2O6 structure. Source: Alexandria via LeMat-Bulk, functional PBE.

Cell lengths 5.5829, 5.5829, 7.2735 Å; angles 90.00, 90.00, 120.00 degrees
Element x y z (fractional)
Na (0.3333, 0.6667, 0.2972)
Na (0.6667, 0.3333, 0.7028)
Dy (0.0000, 0.0000, 0.0000)
Si (0.3333, 0.6667, 0.7936)
Si (0.6667, 0.3333, 0.2064)
O (0.0706, 0.7070, 0.8185)
O (0.2930, 0.3636, 0.8185)
O (0.3636, 0.0706, 0.1815)
O (0.6364, 0.9294, 0.8185)
O (0.7070, 0.6364, 0.1815)
O (0.9294, 0.2930, 0.1815)

SG ... P-3
E_tot ... -6.719 eV/atom
Density of states at the Fermi level ... 1.54 states/eV/f.u.

***

Record 19
A geometry-optimized Cd3P2Pd7 structure. Source: Alexandria via LeMat-Bulk, functional PBE.

Cell lengths 4.4563, 4.5332, 10.4611 Å; angles 93.13, 95.71, 97.92 degrees
Element x y z (fractional)
Cd (0.0000, 0.0000, 0.0000)
Cd (0.0207, 0.1792, 0.3905)
Cd (0.9793, 0.8208, 0.6095)
P (0.4442, 0.4729, 0.7640)
P (0.5558, 0.5271, 0.2360)
Pd (0.0405, 0.5369, 0.1750)
Pd (0.4393, 0.7418, 0.4217)
Pd (0.4493, 0.9750, 0.8232)
Pd (0.5000, 0.5000, 0.0000)
Pd (0.5507, 0.0250, 0.1768)
Pd (0.5607, 0.2582, 0.5783)
Pd (0.9595, 0.4631, 0.8250)

Energy relative to the elements ... -0.39 eV per atom
SG ... P-1
E_tot ... -4.553 eV/atom
Density of states at the Fermi level ... 5.04 states/eV/f.u.